1.
Material: NbFeSCl2
Method: DFT, GGA-PBE
State: optimized geometry

Cell lengths 4.9116, 4.9116, 4.8296 Å; angles 90.00, 90.00, 90.00 degrees
Last column: nearest neighbours and their distance in Å.
Fractional coordinates of all 5 atoms:
S: 0.0000 0.0000 0.5000  2 Nb 2.41
Nb: 0.0000 0.0000 0.0000  2 S 2.41, 4 Cl 2.46
Fe: 0.5000 0.5000 0.5000  8 Cl 3.44, 4 S 3.47
Cl: 0.0000 0.5000 0.0000  2 Nb 2.46
Cl: 0.5000 0.0000 0.0000  2 Nb 2.46

Computed properties:
Energy relative to the elements, uncorrected (eV per atom): 0.101
Space-group type: No. 123
Distance to the lowest polymorph of the same formula (meV/atom): 0
Spin magnetization (μB per formula unit): 4.54

***

2.
Material: AcHgBiO4
Method: DFT, GGA-PBE
State: optimized geometry

Cell lengths 6.6944, 7.2832, 7.6610 Å; angles 121.73, 90.00, 117.36 degrees
Last column: nearest neighbours and their distance in Å.
Fractional coordinates of all 14 atoms:
Ac: 0.5000 0.0000 0.5000  6 O 2.53
Ac: 0.5000 0.0000 0.0000  6 O 2.53
Hg: 0.5000 0.5000 0.5000  4 O 2.35
Hg: 0.0000 0.5000 0.5000  4 O 2.35
Bi: 0.8413 0.6826 0.0913  4 O 2.17-2.41
Bi: 0.1587 0.3174 0.9087  4 O 2.17-2.41
O: 0.7412 0.4824 0.7070  2 Hg 2.35, 1 Bi 2.41, 1 Ac 2.53
O: 0.2256 0.9337 0.2168  1 Bi 2.17
O: 0.7081 0.9337 0.2168  1 Bi 2.17
O: 0.7412 0.4824 0.2754  2 Hg 2.35, 1 Bi 2.41, 1 Ac 2.53
O: 0.2588 0.5176 0.7246  2 Hg 2.35, 1 Bi 2.41, 1 Ac 2.53
O: 0.7744 0.0663 0.7832  1 Bi 2.17
O: 0.2919 0.0663 0.7832  1 Bi 2.17
O: 0.2588 0.5176 0.2930  2 Hg 2.35, 1 Bi 2.41, 1 Ac 2.53

Computed properties:
Energy relative to the elements, uncorrected (eV per atom): -1.606
Space-group type: No. 74
Spin magnetization (μB per formula unit): 0.00

***

3.
Material: LiReSe2
Method: DFT, GGA-PBE
State: optimized geometry

Cell lengths 3.9450, 3.9450, 6.2598 Å; angles 79.32, 79.32, 49.45 degrees
Last column: nearest neighbours and their distance in Å.
Fractional coordinates of all 4 atoms:
Li: 0.7500 0.7500 0.7500  6 Se 2.68-2.82
Re: 0.2500 0.2500 0.2500  6 Se 2.55-2.57
Se: 0.9879 0.9879 0.0289  3 Re 2.55-2.57, 3 Li 2.68-2.82
Se: 0.5121 0.5121 0.4711  3 Re 2.55-2.57, 3 Li 2.68-2.82

Computed properties:
Energy relative to the elements, uncorrected (eV per atom): -0.242
Space-group type: No. 12
Distance to the lowest polymorph of the same formula (meV/atom): 0
Spin magnetization (μB per formula unit): 0.00

***

4.
Material: Zr2ScCrI
Method: DFT, GGA-PBE
State: optimized geometry

Cell lengths 4.8707, 4.8707, 5.0426 Å; angles 90.00, 90.00, 90.00 degrees
Last column: nearest neighbours and their distance in Å.
Fractional coordinates of all 5 atoms:
I: 0.0000 0.0000 0.5000  2 Cr 2.52
Cr: 0.0000 0.0000 0.0000  4 Zr 2.44, 2 I 2.52
Sc: 0.5000 0.5000 0.5000  4 I 3.44, 8 Zr 3.51
Zr: 0.0000 0.5000 0.0000  2 Cr 2.44
Zr: 0.5000 0.0000 0.0000  2 Cr 2.44

Computed properties:
Energy relative to the elements, uncorrected (eV per atom): 0.700
Space-group type: No. 123
Spin magnetization (μB per formula unit): 0.22

***

5.
Material: KCaNb2F
Method: DFT, GGA-PBE
State: optimized geometry

Cell lengths 6.5056, 4.1762, 6.5056 Å; angles 90.00, 90.00, 90.00 degrees
Last column: nearest neighbours and their distance in Å.
Fractional coordinates of all 5 atoms:
K: 0.5000 0.5000 0.5000  8 Nb 3.87, 2 K 4.18
Nb: 0.0000 0.0000 0.5000  2 Ca 3.25
Nb: 0.5000 0.0000 0.0000  2 Ca 3.25
Ca: 0.0000 0.0000 0.0000  2 F 2.09
F: 0.0000 0.5000 0.0000  2 Ca 2.09

Computed properties:
Energy relative to the elements, uncorrected (eV per atom): 0.891
Space-group type: No. 123
Spin magnetization (μB per formula unit): 9.18

***

6.
Material: Mg4AlOs
Method: DFT, GGA-PBE
State: optimized geometry

Cell lengths 5.3339, 5.3339, 5.3339 Å; angles 60.00, 60.00, 60.00 degrees
Last column: nearest neighbours and their distance in Å.
Fractional coordinates of all 6 atoms:
Mg: 0.8726 0.3758 0.3758  6 Mg 2.65-2.68
Mg: 0.3758 0.3758 0.8726  6 Mg 2.65-2.68
Mg: 0.3758 0.8726 0.3758  6 Mg 2.65-2.68
Mg: 0.3758 0.3758 0.3758  6 Mg 2.65-2.68
Al: 0.0000 0.0000 0.0000  12 Mg 3.13, 4 Os 3.27
Os: 0.7500 0.7500 0.7500  12 Mg 3.13, 4 Al 3.27

Computed properties:
Space-group type: No. 216
ΔH_f (0 K) (eV/atom): 0.469
Spin magnetization (μB per formula unit): 0.00

***

7.
Material: Ac2SnPt
Method: DFT, GGA-PBE
State: optimized geometry

Cell lengths 4.4737, 4.6689, 13.0126 Å; angles 100.33, 90.00, 90.00 degrees
Last column: nearest neighbours and their distance in Å.
Fractional coordinates of all 8 atoms:
Ac: 0.7500 0.6932 0.3863  5 Pt 2.99-3.23
Ac: 0.2500 0.3068 0.6137  5 Pt 2.99-3.23
Ac: 0.7500 0.9257 0.8514  1 Pt 2.96
Ac: 0.2500 0.0743 0.1486  1 Pt 2.96
Sn: 0.2500 0.4615 0.9230  2 Sn 2.98
Sn: 0.7500 0.5385 0.0770  2 Sn 2.98
Pt: 0.2500 0.1900 0.3801  6 Ac 2.96-3.23
Pt: 0.7500 0.8100 0.6199  6 Ac 2.96-3.23

Computed properties:
Space-group type: No. 63
ΔH_f (0 K) (eV/atom): -0.897
Spin magnetization (μB per formula unit): 0.00

***

8.
Material: MgSb2TeIr
Method: DFT, GGA-PBE
State: optimized geometry

Cell lengths 5.1441, 5.1441, 5.2313 Å; angles 90.00, 90.00, 90.00 degrees
Last column: nearest neighbours and their distance in Å.
Fractional coordinates of all 5 atoms:
Sb: 0.0000 0.5000 0.0000  2 Mg 2.57
Sb: 0.5000 0.0000 0.0000  2 Mg 2.57
Mg: 0.0000 0.0000 0.0000  4 Sb 2.57, 2 Te 2.62
Ir: 0.5000 0.5000 0.5000  4 Te 3.64, 8 Sb 3.67
Te: 0.0000 0.0000 0.5000  2 Mg 2.62

Computed properties:
Energy relative to the elements, uncorrected (eV per atom): 1.233
Space-group type: No. 123
Distance to the lowest polymorph of the same formula (meV/atom): 882
Spin magnetization (μB per formula unit): 0.00

***

9.
Material: Mn2CuBr
Method: DFT, GGA-PBE
State: optimized geometry

Cell lengths 8.4375, 8.4375, 8.4375 Å; angles 21.03, 21.03, 21.03 degrees
Last column: nearest neighbours and their distance in Å.
Fractional coordinates of all 4 atoms:
Br: 0.5098 0.5098 0.5098  3 Mn 2.56
Cu: 0.7400 0.7400 0.7400  3 Mn 2.56
Mn: 0.9992 0.9992 0.9992  3 Cu 2.56, 3 Mn 2.69
Mn: 0.2510 0.2510 0.2510  3 Br 2.56, 3 Mn 2.69

Computed properties:
Energy relative to the elements, uncorrected (eV per atom): 0.424
Space-group type: No. 160
Distance to the lowest polymorph of the same formula (meV/atom): 162
Spin magnetization (μB per formula unit): 6.85

***

10.
Material: Tc3OsS
Method: DFT, GGA-PBE
State: optimized geometry

Cell lengths 4.7338, 4.7338, 4.7338 Å; angles 90.00, 90.00, 90.00 degrees
Last column: nearest neighbours and their distance in Å.
Fractional coordinates of all 5 atoms:
S: 0.5000 0.5000 0.5000  12 Tc 3.35
Os: 0.0000 0.0000 0.0000  6 Tc 2.37
Tc: 0.0000 0.5000 0.0000  2 Os 2.37
Tc: 0.0000 0.0000 0.5000  2 Os 2.37
Tc: 0.5000 0.0000 0.0000  2 Os 2.37

Computed properties:
Energy relative to the elements, uncorrected (eV per atom): 1.968
Space-group type: No. 221
Distance to the lowest polymorph of the same formula (meV/atom): 1139
Spin magnetization (μB per formula unit): 4.07

***

11.
Material: Th4PRuS2
Method: DFT, GGA-PBE
State: optimized geometry

Cell lengths 4.0331, 7.1473, 7.2371 Å; angles 71.15, 90.00, 90.00 degrees
Last column: nearest neighbours and their distance in Å.
Fractional coordinates of all 8 atoms:
Th: 0.0000 0.7449 0.7496  2 P 2.89, 1 Ru 2.89, 3 S 2.92-2.96
Th: 0.0000 0.2551 0.2504  2 P 2.89, 1 Ru 2.89, 3 S 2.92-2.96
Th: 0.5000 0.7363 0.2611  2 Ru 2.83, 1 P 2.91, 3 S 2.94-2.98
Th: 0.5000 0.2637 0.7389  2 Ru 2.83, 1 P 2.91, 3 S 2.94-2.98
P: 0.5000 0.5000 0.0000  6 Th 2.89-2.91
Ru: 0.0000 0.5000 0.5000  6 Th 2.83-2.89
S: 0.0000 0.0000 0.0000  6 Th 2.96-2.98
S: 0.5000 0.0000 0.5000  6 Th 2.92-2.94

Computed properties:
Energy relative to the elements, uncorrected (eV per atom): -1.393
Space-group type: No. 10
Spin magnetization (μB per formula unit): 0.00

***

12.
Material: FePd5Pt2
Method: DFT, GGA-PBE
State: optimized geometry

Cell lengths 6.7424, 6.7424, 7.3436 Å; angles 117.33, 117.33, 90.00 degrees
Last column: nearest neighbours and their distance in Å.
Fractional coordinates of all 16 atoms:
Fe: 0.7500 0.7500 0.5000  10 Pd 2.72-2.79
Fe: 0.2500 0.2500 0.5000  10 Pd 2.72-2.79
Pd: 0.4883 0.6800 0.6683  3 Pd 2.62-2.80, 3 Pt 2.70-2.71, 2 Fe 2.72
Pd: 0.8200 0.0117 0.3317  3 Pd 2.62-2.80, 3 Pt 2.70-2.71, 2 Fe 2.72
Pd: 0.0000 0.0000 0.0000  4 Pt 2.61, 2 Fe 2.79
Pd: 0.5000 0.5000 0.0000  4 Pt 2.61, 2 Fe 2.79
Pd: 0.1800 0.9883 0.6683  3 Pd 2.62-2.80, 3 Pt 2.70-2.71, 2 Fe 2.72
Pd: 0.6800 0.1800 0.6683  3 Pd 2.62-2.80, 3 Pt 2.70-2.71, 2 Fe 2.72
Pd: 0.9883 0.4883 0.6683  3 Pd 2.62-2.80, 3 Pt 2.70-2.71, 2 Fe 2.72
Pd: 0.3200 0.8200 0.3317  3 Pd 2.62-2.80, 3 Pt 2.70-2.71, 2 Fe 2.72
Pd: 0.0117 0.5117 0.3317  3 Pd 2.62-2.80, 3 Pt 2.70-2.71, 2 Fe 2.72
Pd: 0.5117 0.3200 0.3317  3 Pd 2.62-2.80, 3 Pt 2.70-2.71, 2 Fe 2.72
Pt: 0.1396 0.3604 0.0000  8 Pd 2.61-2.71, 1 Pt 2.66
Pt: 0.6396 0.1396 0.0000  8 Pd 2.61-2.71, 1 Pt 2.66
Pt: 0.3604 0.8604 0.0000  8 Pd 2.61-2.71, 1 Pt 2.66
Pt: 0.8604 0.6396 0.0000  8 Pd 2.61-2.71, 1 Pt 2.66

Computed properties:
Space-group type: No. 140
ΔH_f (0 K) (eV/atom): 0.118
Distance to the lowest polymorph of the same formula (meV/atom): 211
Spin magnetization (μB per formula unit): 4.38

***

13.
Material: TmGaSnHg
Method: DFT, GGA-PBE
State: optimized geometry

Cell lengths 5.1369, 5.1369, 5.1369 Å; angles 60.00, 60.00, 60.00 degrees
Last column: nearest neighbours and their distance in Å.
Fractional coordinates of all 4 atoms:
Tm: 0.7500 0.7500 0.7500  4 Ga 3.15, 4 Hg 3.15
Hg: 0.0000 0.0000 0.0000  4 Tm 3.15, 4 Sn 3.15
Ga: 0.5000 0.5000 0.5000  4 Sn 3.15, 4 Tm 3.15
Sn: 0.2500 0.2500 0.2500  4 Hg 3.15, 4 Ga 3.15

Computed properties:
Space-group type: No. 216
ΔH_f (0 K) (eV/atom): -0.209
Distance to the lowest polymorph of the same formula (meV/atom): 195
Spin magnetization (μB per formula unit): 0.00

***

14.
Material: HoErAg2Te4
Method: DFT, GGA-PBE
State: optimized geometry

Cell lengths 4.3862, 7.5905, 7.4470 Å; angles 109.68, 90.00, 90.00 degrees
Last column: nearest neighbours and their distance in Å.
Fractional coordinates of all 8 atoms:
Ho: 0.0000 0.0000 0.0000  6 Te 3.09
Er: 0.5000 0.5000 0.0000  6 Te 3.08
Ag: 0.5000 0.0000 0.5000  6 Te 3.06-3.08
Ag: 0.0000 0.5000 0.5000  6 Te 3.06-3.07
Te: 0.5000 0.2507 0.2523  3 Ag 3.06-3.07, 1 Er 3.08, 2 Ho 3.09
Te: 0.5000 0.7493 0.7477  3 Ag 3.06-3.07, 1 Er 3.08, 2 Ho 3.09
Te: 0.0000 0.2510 0.7481  3 Ag 3.06-3.08, 2 Er 3.08, 1 Ho 3.09
Te: 0.0000 0.7490 0.2519  3 Ag 3.06-3.08, 2 Er 3.08, 1 Ho 3.09

Computed properties:
Energy relative to the elements, uncorrected (eV per atom): -0.822
Space-group type: No. 10
Spin magnetization (μB per formula unit): 0.00